# Ac3Tl6Cd2 (PBE-GGA, relaxed)
# Space-group type = I4/mmm (139)
# E_form = -2.08 eV per formula unit
# Volume = 365.83 Å³/cell
data_Ac3Tl6Cd2
_symmetry_space_group_name_H-M 'P 1'
_symmetry_Int_Tables_number 1
_cell_length_a 17.0550
_cell_length_b 17.0550
_cell_length_c 17.0550
_cell_angle_alpha 164.24
_cell_angle_beta 164.24
_cell_angle_gamma 22.36
loop_
_symmetry_equiv_pos_as_xyz
'x,y,z'
loop_
_atom_site_label
_atom_site_type_symbol
_atom_site_fract_x
_atom_site_fract_y
_atom_site_fract_z
Ac1 Ac 0.0000 0.0000 0.0000
Ac2 Ac 0.1669 0.1669 0.0000
Ac3 Ac 0.8331 0.8331 0.0000
Tl1 Tl 0.0768 0.5768 0.5000
Tl2 Tl 0.2693 0.2693 0.0000
Tl3 Tl 0.4232 0.9232 0.5000
Tl4 Tl 0.5768 0.0768 0.5000
Tl5 Tl 0.7307 0.7307 0.0000
Tl6 Tl 0.9232 0.4232 0.5000
Cd1 Cd 0.3614 0.3614 0.0000
Cd2 Cd 0.6386 0.6386 0.0000